Entry 1:
This record from the Alexandria database describes a relaxed TlSi2Tc crystal. The functional is GGA-PBEsol.

Cell: 3.1201 3.1201 24.8642 Å, 90.00 90.00 120.00°
With the nearest neighbours (Å) after each atom.
Space group R-3m (No. 166, hexagonal axes)
Symmetry-distinct sites (fractional):
Tl  0.0000  0.0000  0.0000 [3 per cell]  6 Si 3.07, 6 Tl 3.12
Si  0.0000  0.0000  0.2333 [6 per cell]  3 Tc 2.45
Tc  0.0000  0.0000  0.5000 [3 per cell]  6 Si 2.45

**Energy relative to the elements, uncorrected**: 0.1071 eV per atom

Entry 2:
This record from the Alexandria database describes a relaxed Sr2CdSi crystal. The functional is GGA-PBEsol.

Cell: 5.4113 5.4113 3.9015 Å, 90.00 90.00 90.00°
With the nearest neighbours (Å) after each atom.
Space group P4/mmm (No. 123)
Symmetry-distinct sites (fractional):
Sr  0.0000  0.5000  0.0000 [2 per cell]  4 Cd 3.34, 4 Si 3.34
Cd  0.0000  0.0000  0.5000 [1 per cell]  8 Sr 3.34
Si  0.5000  0.5000  0.5000 [1 per cell]  8 Sr 3.34

**Energy relative to the elements, uncorrected**: -0.2781 eV per atom

Entry 3:
This record from the Alexandria database describes a relaxed KH2I3O9 crystal. The functional is GGA-PBEsol.

Cell: 8.0428 8.0512 8.0651 Å, 71.43 66.65 60.35°
With the nearest neighbours (Å) after each atom.
Space group P1 (No. 1)
Symmetry-distinct sites (fractional):
K  0.0000  0.0000  0.0000 [1 per cell]  6 O 2.78-2.90, 2 H 2.89-2.95
K  0.4794  0.5317  0.5617 [1 per cell]  7 O 2.81-3.09, 2 H 2.89-3.06
H  0.2075  0.2880  0.7946 [1 per cell]  1 O 1.06
H  0.6062  0.6327  0.7896 [1 per cell]  1 O 1.03
H  0.7571  0.2412  0.2943 [1 per cell]  1 O 1.07
H  0.8752  0.9005  0.7686 [1 per cell]  1 O 1.03
I  0.0076  0.5067  0.0321 [1 per cell]  3 O 1.82-1.94
I  0.0100  0.5666  0.4870 [1 per cell]  3 O 1.84-1.86
I  0.0129  0.0696  0.4688 [1 per cell]  3 O 1.82-1.94
I  0.4629  0.9720  0.0715 [1 per cell]  3 O 1.82-1.87
I  0.4648  0.0352  0.5407 [1 per cell]  3 O 1.84-1.85
I  0.4840  0.4598  0.0936 [1 per cell]  3 O 1.82-1.90
O  0.0552  0.3890  0.8326 [1 per cell]  1 H 1.06
O  0.0893  0.7361  0.5075 [1 per cell]  1 I 1.84
O  0.1999  0.1601  0.1404 [1 per cell]  1 I 1.87
O  0.2284  0.0065  0.6362 [1 per cell]  1 I 1.85
O  0.2400  0.5358  0.9265 [1 per cell]  1 I 1.82
O  0.2715  0.3808  0.4172 [1 per cell]  1 I 1.86
O  0.3860  0.8032  0.0459 [1 per cell]  1 I 1.84
O  0.4158  0.1486  0.7319 [1 per cell]  1 H 1.47
O  0.4825  0.8710  0.3037 [1 per cell]  1 I 1.82
O  0.5774  0.2014  0.0966 [1 per cell]  1 I 1.82
O  0.6330  0.7884  0.6180 [1 per cell]  1 H 1.57
O  0.6355  0.4902  0.8446 [1 per cell]  1 H 1.03
O  0.6714  0.4293  0.1936 [1 per cell]  1 H 1.43
O  0.8178  0.0979  0.3664 [1 per cell]  1 H 1.07
O  0.8395  0.7460  0.9429 [1 per cell]  1 H 1.59
O  0.8499  0.0418  0.7126 [1 per cell]  1 H 1.03
O  0.9066  0.3294  0.4633 [1 per cell]  1 I 1.82
O  0.9819  0.6688  0.2561 [1 per cell]  1 I 1.84

Entry 4:
This record from the Alexandria database describes a relaxed SrMnN2 crystal. The functional is GGA-PBEsol.

Cell: 5.8439 7.4000 5.7059 Å, 90.00 113.77 90.00°
With the nearest neighbours (Å) after each atom.
Space group P2_1/c (No. 14)
Symmetry-distinct sites (fractional):
Sr  0.1815  0.0680  0.3224 [4 per cell]  4 N 2.57-2.66
Mn  0.3948  0.6341  0.4209 [4 per cell]  4 N 1.73-1.86
N  0.2636  0.0888  0.9129 [4 per cell]  2 Mn 1.81-1.86
N  0.3235  0.7158  0.1152 [4 per cell]  2 Mn 1.73

**Energy relative to the elements, uncorrected**: -0.8132 eV per atom

Entry 5:
This record from the Alexandria database describes a relaxed BeAsOs2 crystal. The functional is GGA-PBEsol.

Cell: 2.8223 4.6538 8.1779 Å, 90.00 90.00 90.00°
With the nearest neighbours (Å) after each atom.
Space group Cmmm (No. 65)
Symmetry-distinct sites (fractional):
Be  0.0000  0.0000  0.0000 [2 per cell]  4 Os 2.31
As  0.0000  0.0000  0.5000 [2 per cell]  4 Os 2.67, 6 As 2.72-2.82
Os  0.0000  0.5000  0.2234 [4 per cell]  2 Be 2.31

**E_form**: 0.515 eV/atom

Entry 6:
This record from the Alexandria database describes a relaxed TeP crystal. The functional is GGA-PBEsol.

Cell: 3.9779 5.6461 3.9719 Å, 90.00 90.00 90.00°
With the nearest neighbours (Å) after each atom.
Space group Pmmn (No. 59, origin choice 2)
Symmetry-distinct sites (fractional):
Te  0.2500  0.2500  0.2502 [2 per cell]  6 P 2.81-2.82
P  0.2500  0.7500  0.2491 [2 per cell]  6 Te 2.81-2.82

**Energy relative to the elements, uncorrected**: 0.2194 eV per atom

Entry 7:
This record from the Alexandria database describes a relaxed Ba2TaRh crystal. The functional is GGA-PBEsol.

Cell: 7.3571 7.3571 7.3571 Å, 90.00 90.00 90.00°
With the nearest neighbours (Å) after each atom.
Space group F-43m (No. 216)
Symmetry-distinct sites (fractional):
Ba  0.0000  0.0000  0.0000 [4 per cell]  4 Ba 3.19, 4 Ta 3.19
Ba  0.2500  0.2500  0.2500 [4 per cell]  4 Ba 3.19, 4 Rh 3.19
Ta  0.2500  0.2500  0.7500 [4 per cell]  4 Ba 3.19, 4 Rh 3.19
Rh  0.0000  0.0000  0.5000 [4 per cell]  4 Ba 3.19, 4 Ta 3.19

**E_form**: 0.966 eV/atom

Entry 8:
This record from the Alexandria database describes a relaxed SrPAu4 crystal. The functional is GGA-PBEsol.

Cell: 7.8089 7.8089 7.8089 Å, 90.00 90.00 90.00°
With the nearest neighbours (Å) after each atom.
Space group F-43m (No. 216)
Symmetry-distinct sites (fractional):
Sr  0.0000  0.0000  0.0000 [4 per cell]  12 Au 3.24, 4 P 3.38
P  0.2500  0.2500  0.2500 [4 per cell]  12 Au 3.24, 4 Sr 3.38
Au  0.1249  0.1249  0.6249 [16 per cell]  6 Au 2.76

**E_form**: -0.217 eV/atom

| no. | V (Å³ per cell) | total energy (eV/atom) |
| --- | --- | --- |
| 1 | 210 | -6.240 |
| 2 | 114 | -2.934 |
| 3 | 412 | -4.715 |
| 4 | 226 | -7.977 |
| 5 | 107 | -7.870 |
| 6 | 89 | -4.439 |
| 7 | 398 | -5.281 |
| 8 | 476 | -4.105 |